NiAg2BiF6: optimized geometry, GGA+U.

It has space group P-1 (No. 2), with a = 5.403 Å, b = 5.408 Å, c = 5.950 Å, α = 101.39°, β = 116.83° and γ = 96.32°. The asymmetric unit holds Ni at (0.000, 0.000, 0.000), Ag at (0.204, 0.694, 0.513), Bi at (0.500, 0.500, 0.000), F at (0.163, 0.087, 0.771), F at (0.290, 0.328, 0.249) and F at (0.297, 0.799, 0.161).

The calculation puts the magnetic moment at 1.95 μB/f.u. As for the electronic total energy: -3.996 eV per atom. The calculation puts the density of states at the Fermi level at 1.78 states/eV/cell.